{
  "formula": "PuCu2F8",
  "functional": "PBE-GGA",
  "state": "optimized geometry",
  "dft_energy_ev_per_cell": -62.96,
  "volume_a3_per_atom": 15.18,
  "lattice": [[4.147, -3.873, 0.000], [4.147, 3.873, 0.000], [-1.057, 0.000, 5.198]],
  "species": ["Pu", "Cu", "Cu", "F", "F", "F", "F", "F", "F", "F", "F"],
  "fractional_positions": [[0.000, 0.000, 0.000], [0.326, 0.326, 0.519], [0.674, 0.674, 0.481], [0.030, 0.686, 0.730], [0.188, 0.188, 0.768], [0.314, 0.970, 0.270], [0.454, 0.454, 0.259], [0.546, 0.546, 0.741], [0.686, 0.030, 0.730], [0.812, 0.812, 0.232], [0.970, 0.314, 0.270]]
}